! Ca2GaAgH PBE optimized geometry; values from VASP
&SYSTEM
  ibrav = 0, nat = 5, ntyp = 4
/
ATOMIC_SPECIES
Ca 40.08 Ca.upf
Ga 69.72 Ga.upf
Ag 107.87 Ag.upf
H 1.01 H.upf
ATOMIC_POSITIONS angstrom
Ca 0.0000 2.5416 0.0000
Ca 2.5416 0.0000 0.0000
Ga 0.0000 0.0000 1.9473
Ag 2.5416 2.5416 1.9473
H 0.0000 0.0000 0.0000
CELL_PARAMETERS angstrom
5.0832 0.0000 0.0000
0.0000 5.0832 0.0000
0.0000 0.0000 3.8945
! Calculated total energy ... -14.70 eV per cell

=====

! CaHoGaAg PBE optimized geometry; values from VASP
&SYSTEM
  ibrav = 0, nat = 4, ntyp = 4
/
ATOMIC_SPECIES
Ca 40.08 Ca.upf
Ho 164.93 Ho.upf
Ga 69.72 Ga.upf
Ag 107.87 Ag.upf
ATOMIC_POSITIONS angstrom
Ca 0.0000 0.0000 0.0000
Ho 3.6287 3.6287 3.6287
Ga 1.8143 1.8143 1.8143
Ag 5.4430 5.4430 5.4430
CELL_PARAMETERS angstrom
0.0000 3.6287 3.6287
3.6287 0.0000 3.6287
3.6287 3.6287 0.0000
! Formation enthalpy at 0 K ... -0.415 eV per atom
! Calculated total energy ... -14.12 eV per cell

=====

! CaHoGaAg PBE optimized geometry; values from VASP
&SYSTEM
  ibrav = 0, nat = 4, ntyp = 4
/
ATOMIC_SPECIES
Ca 40.08 Ca.upf
Ho 164.93 Ho.upf
Ga 69.72 Ga.upf
Ag 107.87 Ag.upf
ATOMIC_POSITIONS angstrom
Ca 0.0000 0.0000 0.0000
Ho 0.0000 0.0000 3.7114
Ga 1.8180 1.8180 5.3777
Ag 1.8180 1.8180 1.9917
CELL_PARAMETERS angstrom
3.6360 0.0000 0.0000
0.0000 3.6360 0.0000
0.0000 0.0000 7.3111
! Formation enthalpy at 0 K ... -0.425 eV per atom
! Calculated total energy ... -14.16 eV per cell

=====

no.,ΔE to the lowest computed polymorph (meV/atom)
1,53
2,10
3,0